Record 1
Material: Pm3Sm5H12
Method: DFT, PBE
State: relaxed

Cell lengths 11.676, 11.676, 11.676 Å; angles 109.47, 109.47, 109.47 degrees
Positions (direct):
H 0.348 0.934 0.775
H 0.725 0.573 0.159
H 0.159 0.086 0.934
H 0.225 0.659 0.073
H 0.066 0.652 0.725
H 0.848 0.275 0.434
H 0.586 0.934 0.659
H 0.573 0.725 0.659
H 0.841 0.914 0.066
H 0.914 0.841 0.566
H 0.927 0.086 0.652
H 0.775 0.341 0.927
H 0.073 0.159 0.225
H 0.434 0.659 0.086
H 0.066 0.414 0.841
H 0.086 0.927 0.152
H 0.348 0.414 0.073
H 0.934 0.348 0.275
H 0.848 0.573 0.914
H 0.927 0.841 0.775
H 0.159 0.073 0.725
H 0.414 0.066 0.341
H 0.586 0.652 0.427
H 0.152 0.725 0.566
H 0.152 0.427 0.086
H 0.659 0.434 0.586
H 0.934 0.586 0.159
H 0.566 0.225 0.152
H 0.427 0.152 0.586
H 0.341 0.566 0.414
H 0.434 0.775 0.848
H 0.914 0.073 0.848
H 0.275 0.427 0.841
H 0.652 0.066 0.225
H 0.427 0.275 0.341
H 0.659 0.225 0.573
H 0.414 0.348 0.573
H 0.652 0.586 0.927
H 0.275 0.848 0.934
H 0.086 0.159 0.434
H 0.573 0.848 0.414
H 0.073 0.914 0.348
H 0.775 0.434 0.348
H 0.566 0.341 0.914
H 0.841 0.927 0.275
H 0.725 0.152 0.066
H 0.225 0.566 0.652
H 0.341 0.775 0.427
Sm 0.125 0.375 0.250
Sm 0.125 0.750 0.375
Sm 0.875 0.625 0.750
Sm 0.750 0.625 0.375
Sm 0.000 0.000 0.500
Sm 0.375 0.250 0.125
Sm 0.500 0.000 0.500
Sm 0.250 0.375 0.625
Sm 0.500 0.500 0.000
Sm 0.625 0.875 0.250
Sm 0.875 0.250 0.625
Sm 0.750 0.125 0.875
Sm 0.000 0.500 0.000
Sm 0.375 0.125 0.750
Sm 0.500 0.000 0.000
Sm 0.000 0.500 0.500
Sm 0.625 0.750 0.875
Sm 0.500 0.500 0.500
Sm 0.250 0.875 0.125
Sm 0.000 0.000 0.000
Pm 0.125 0.875 0.750
Pm 0.750 0.875 0.625
Pm 0.375 0.625 0.250
Pm 0.750 0.375 0.125
Pm 0.375 0.750 0.625
Pm 0.625 0.250 0.375
Pm 0.875 0.750 0.125
Pm 0.875 0.125 0.250
Pm 0.125 0.250 0.875
Pm 0.250 0.625 0.875
Pm 0.625 0.375 0.750
Pm 0.250 0.125 0.375

Properties
Space-group type   Ia-3d (230)
Total energy   -347.91 eV per cell

Record 2
Material: Pm2SmH
Method: DFT, PBE
State: relaxed

Cell lengths 3.432, 3.432, 8.682 Å; angles 90.00, 90.00, 90.00 degrees
Positions (direct):
H 0.500 0.500 0.000
Pm 0.000 0.000 0.189
Pm 0.000 0.000 0.811
Sm 0.500 0.500 0.500

Properties
E above lowest polymorph   265.5 meV/atom
Space-group type   P4/mmm (123)
Total energy   -17.18 eV per cell

Record 3
Material: PmSmH
Method: DFT, PBE
State: relaxed

Cell lengths 3.442, 3.442, 6.650 Å; angles 105.00, 105.00, 90.00 degrees
Positions (direct):
Pm 0.034 0.034 0.068
Sm 0.746 0.746 0.492
H 0.220 0.220 0.440

Properties
E above lowest polymorph   146.7 meV/atom
Space-group type   I4mm (107)
Total energy   -13.21 eV per cell

Record 4
Material: Pm4SmH10
Method: DFT, PBE
State: relaxed

Cell lengths 3.825, 3.825, 13.733 Å; angles 98.01, 98.01, 90.00 degrees
Positions (direct):
H 0.150 0.650 0.299
H 0.951 0.451 0.901
H 0.451 0.951 0.901
H 0.250 0.750 0.500
H 0.549 0.049 0.099
H 0.750 0.250 0.500
H 0.049 0.549 0.099
H 0.350 0.850 0.701
H 0.650 0.150 0.299
H 0.850 0.350 0.701
Pm 0.400 0.400 0.801
Pm 0.200 0.200 0.400
Pm 0.600 0.600 0.199
Pm 0.800 0.800 0.600
Sm 0.000 0.000 0.000

Properties
Space-group type   I4/mmm (139)
Total energy   -67.26 eV per cell

Record 5
Material: Pm3SmH
Method: DFT, PBE
State: relaxed

Cell lengths 5.132, 5.132, 5.132 Å; angles 90.00, 90.00, 90.00 degrees
Positions (direct):
H 0.000 0.000 0.000
Pm 0.000 0.000 0.500
Pm 0.000 0.500 0.000
Pm 0.500 0.000 0.000
Sm 0.500 0.500 0.500

Properties
Space-group type   Pm-3m (221)
Total energy   -23.19 eV per cell

Record 6
Material: PmSm4H10
Method: DFT, PBE
State: relaxed

Cell lengths 3.802, 3.802, 15.676 Å; angles 83.03, 83.03, 60.00 degrees
Positions (direct):
Sm 0.600 0.600 0.201
Sm 0.400 0.400 0.799
Sm 0.200 0.200 0.400
Sm 0.800 0.800 0.600
H 0.750 0.750 0.750
H 0.850 0.850 0.450
H 0.250 0.250 0.250
H 0.950 0.950 0.151
H 0.050 0.050 0.849
H 0.450 0.450 0.650
H 0.550 0.550 0.350
H 0.650 0.650 0.051
H 0.150 0.150 0.550
H 0.350 0.350 0.949
Pm 0.000 0.000 0.000

Properties
Space-group type   R-3m (166)
Total energy   -67.23 eV per cell

Record 7
Material: PmSmH2
Method: DFT, PBE
State: relaxed

Cell lengths 3.583, 3.583, 6.203 Å; angles 73.21, 73.21, 60.00 degrees
Positions (direct):
Pm 0.500 0.500 0.500
H 0.251 0.251 0.247
H 0.749 0.749 0.753
Sm 0.000 0.000 0.000

Properties
E above lowest polymorph   0.0 meV/atom
Space-group type   R-3m (166)
Total energy   -17.76 eV per cell

Record 8
Material: PmSmH4
Method: DFT, PBE
State: relaxed

Cell lengths 5.381, 5.381, 6.614 Å; angles 114.00, 114.00, 90.00 degrees
Positions (direct):
H 0.127 0.625 0.750
H 0.875 0.377 0.250
H 0.875 0.873 0.250
H 0.375 0.377 0.250
H 0.623 0.125 0.750
H 0.375 0.873 0.250
H 0.623 0.625 0.750
H 0.127 0.125 0.750
Pm 0.750 0.250 0.500
Pm 0.000 0.000 0.000
Sm 0.250 0.750 0.500
Sm 0.500 0.500 0.000

Properties
Space-group type   I4_1/amd (141)
Total energy   -53.75 eV per cell

no.,volume (Å³ per atom)
1,15.32
2,25.56
3,24.44
4,13.13
5,27.03
6,12.96
7,16.26
8,13.06